Entry 1:
A plane-wave DFT calculation with GGA-PBE was carried out for LuScIr2 after structural relaxation.

Energy of formation ... -0.9719 eV/atom
DFT total energy ... -8.1155 eV per atom
M_tot ... 0.0 μB/f.u.
DOS(E_F) ... 0.4 states/eV per cell

Cell: 4.6575 4.6575 4.6575 Å, 60.00 60.00 60.00°
Closest atoms and distances in Å follow each position.
Sites, in units of the cell vectors:
Lu 0.0000 0.0000 0.0000  8 Ir 2.85
Sc 0.5000 0.5000 0.5000  8 Ir 2.85
Ir 0.2500 0.2500 0.2500  4 Sc 2.85, 4 Lu 2.85
Ir 0.7500 0.7500 0.7500  4 Sc 2.85, 4 Lu 2.85

Entry 2:
A plane-wave DFT calculation with GGA-PBE was carried out for LaPmHo after structural relaxation.

Energy of formation ... 0.0210 eV/atom
DFT total energy ... -4.7309 eV per atom
M_tot ... 0.0 μB/f.u.
DOS(E_F) ... 4.3 states/eV per cell

Cell: 3.6393 3.6393 8.9256 Å, 90.00 90.00 120.00°
Closest atoms and distances in Å follow each position.
Sites, in units of the cell vectors:
La 0.0000 0.0000 0.0000  3 Ho 3.63, 6 La 3.64, 3 Pm 3.73
Pm 0.6667 0.3333 0.3451  3 Ho 3.57, 6 Pm 3.64, 3 La 3.73
Ho 0.3333 0.6667 0.6679  3 Pm 3.57, 3 La 3.63, 6 Ho 3.64

Entry 3:
A plane-wave DFT calculation with GGA-PBE was carried out for Tb6YHoTm2 after structural relaxation.

Energy of formation ... 0.1176 eV/atom
DFT total energy ... -4.6591 eV per atom
M_tot ... 0.0 μB/f.u.
DOS(E_F) ... 28.2 states/eV per cell

Cell: 8.7710 8.7710 9.5046 Å, 93.69 93.69 118.03°
Closest atoms and distances in Å follow each position.
Sites, in units of the cell vectors:
Tb 0.0179 0.5673 0.1848  4 Tb 3.20-3.58, 2 Tm 3.37-3.59, 1 Ho 3.45, 1 Y 3.57
Tb 0.1240 0.7538 0.5549  7 Tb 3.38-3.73, 1 Tm 3.46, 1 Y 3.66
Tb 0.2462 0.8760 0.9451  7 Tb 3.38-3.73, 1 Tm 3.46, 1 Y 3.66
Tb 0.2900 0.5038 0.3803  4 Tb 3.20-3.54, 3 Tm 3.24-3.39, 2 Ho 3.39-3.53
Tb 0.4327 0.9821 0.3152  4 Tb 3.20-3.58, 2 Tm 3.37-3.59, 1 Ho 3.45, 1 Y 3.57
Tb 0.4962 0.7100 0.1197  4 Tb 3.20-3.54, 3 Tm 3.24-3.39, 2 Ho 3.39-3.53
Tb 0.5038 0.2900 0.8803  4 Tb 3.20-3.54, 3 Tm 3.24-3.39, 2 Ho 3.39-3.53
Tb 0.5673 0.0179 0.6848  4 Tb 3.20-3.58, 2 Tm 3.37-3.59, 1 Ho 3.45, 1 Y 3.57
Tb 0.7100 0.4962 0.6197  4 Tb 3.20-3.54, 3 Tm 3.24-3.39, 2 Ho 3.39-3.53
Tb 0.7538 0.1240 0.0549  7 Tb 3.38-3.73, 1 Tm 3.46, 1 Y 3.66
Tb 0.8760 0.2462 0.4451  7 Tb 3.38-3.73, 1 Tm 3.46, 1 Y 3.66
Tb 0.9821 0.4327 0.8152  4 Tb 3.20-3.58, 2 Tm 3.37-3.59, 1 Ho 3.45, 1 Y 3.57
Y 0.0242 0.9758 0.2500  4 Tm 3.38-3.40, 4 Tb 3.57-3.66
Y 0.9758 0.0242 0.7500  4 Tm 3.38-3.40, 4 Tb 3.57-3.66
Ho 0.4096 0.5904 0.7500  6 Tb 3.39-3.53, 2 Tm 3.53
Ho 0.5904 0.4096 0.2500  6 Tb 3.39-3.53, 2 Tm 3.53
Tm 0.1978 0.3050 0.0444  6 Tb 3.24-3.59, 2 Y 3.38-3.40, 1 Ho 3.53
Tm 0.3050 0.1978 0.5444  6 Tb 3.24-3.59, 2 Y 3.38-3.40, 1 Ho 3.53
Tm 0.6950 0.8022 0.4556  6 Tb 3.24-3.59, 2 Y 3.38-3.40, 1 Ho 3.53
Tm 0.8022 0.6950 0.9556  6 Tb 3.24-3.59, 2 Y 3.38-3.40, 1 Ho 3.53

Entry 4:
A plane-wave DFT calculation with GGA-PBE was carried out for Sm6SbAs5 after structural relaxation.

ΔE_f (raw) ... -1.456 eV per atom
DFT total energy ... -6.0960 eV per atom
M_tot ... 0.0 μB/f.u.
DOS(E_F) ... 1.4 states/eV per cell

Cell: 7.3781 7.3781 7.3744 Å, 99.62 99.62 119.96°
Closest atoms and distances in Å follow each position.
Sites, in units of the cell vectors:
Sm 0.0714 0.4148 0.7447  5 As 2.95-3.02, 1 Sb 3.09
Sm 0.2416 0.2416 0.2547  5 As 2.93-3.00, 1 Sb 3.09
Sm 0.4148 0.0714 0.7447  5 As 2.95-3.02, 1 Sb 3.09
Sm 0.5852 0.9286 0.2553  5 As 2.95-3.02, 1 Sb 3.09
Sm 0.7584 0.7584 0.7453  5 As 2.93-3.00, 1 Sb 3.09
Sm 0.9286 0.5852 0.2553  5 As 2.95-3.02, 1 Sb 3.09
Sb 0.5000 0.5000 0.0000  6 Sm 3.09
As 0.0000 0.0000 0.5000  6 Sm 2.93-3.02
As 0.1669 0.8331 0.0000  6 Sm 3.00
As 0.3358 0.6642 0.5000  6 Sm 2.95-3.02
As 0.6642 0.3358 0.5000  6 Sm 2.95-3.02
As 0.8331 0.1669 0.0000  6 Sm 3.00

Which value of M_tot does entry 2 give?
0.0 μB/f.u.